Below is an optimized crystal structure of SrTl2Os, with properties calculated at the PBE-GGA level.

Calculated values
total DFT energy (no corrections) = -4.0232 eV per atom
energy relative to the elements = 0.39 eV per atom

Lattice parameters (Å, degrees): 4.6348 4.6348 6.3765 111.49 111.49 60.21
Closest atoms and distances in Å follow each position.
Fractional coordinates of all 4 atoms:
Sr1 0.0000 0.0000 0.0000  6 Tl 3.33-3.34
Tl1 0.2188 0.2188 0.6559  3 Os 2.82-2.83
Tl2 0.7812 0.7812 0.3441  3 Os 2.82-2.83
Os1 0.5000 0.5000 0.5000  6 Tl 2.82-2.83

=====

Below is an optimized crystal structure of Na2Zr3PbO8, with properties calculated at the PBE-GGA level.

Calculated values
total DFT energy (no corrections) = -7.7426 eV per atom
formation energy (no corrections) = -36.7 eV per formula unit

Lattice parameters (Å, degrees): 6.9768 6.9768 6.9768 56.24 56.24 56.24
Closest atoms and distances in Å follow each position.
Fractional coordinates of all 14 atoms:
Na1 0.0000 0.0000 0.0000  6 O 2.48-2.49
Na2 0.3815 0.3815 0.3815  3 O 2.32
Zr1 0.0011 0.0011 0.4937  6 O 2.08-2.20
Zr2 0.0011 0.4937 0.0011  6 O 2.08-2.20
Zr3 0.4937 0.0011 0.0011  6 O 2.08-2.20
Pb1 0.6210 0.6210 0.6210  3 O 2.31
O1 0.1982 0.7474 0.7474  2 Zr 2.16, 1 Pb 2.31
O2 0.2315 0.2315 0.2315  3 Zr 2.20
O3 0.2528 0.2528 0.8071  2 Zr 2.08, 1 Na 2.32
O4 0.2528 0.8071 0.2528  2 Zr 2.08, 1 Na 2.32
O5 0.7474 0.1982 0.7474  2 Zr 2.16, 1 Pb 2.31
O6 0.7474 0.7474 0.1982  2 Zr 2.16, 1 Pb 2.31
O7 0.7745 0.7745 0.7745  3 Zr 2.17
O8 0.8071 0.2528 0.2528  2 Zr 2.08, 1 Na 2.32

=====

Below is an optimized crystal structure of Na2AgC2O6, with properties calculated at the PBE-GGA level.

Calculated values
total DFT energy (no corrections) = -6.2221 eV per atom
formation energy (no corrections) = -14.8 eV per formula unit

Lattice parameters (Å, degrees): 5.2175 6.0718 6.2489 109.53 114.35 100.06
Closest atoms and distances in Å follow each position.
Fractional coordinates of all 11 atoms:
Na1 0.1145 0.2519 0.3141  6 O 2.34-2.60
Na2 0.8855 0.7481 0.6859  6 O 2.34-2.60
Ag1 0.5000 0.5000 0.0000  4 O 2.17-2.23
C1 0.1744 0.7175 0.2574  3 O 1.26-1.32
C2 0.8256 0.2825 0.7426  3 O 1.26-1.32
O1 0.0225 0.3544 0.6759  1 C 1.32
O2 0.1583 0.8613 0.1498  1 C 1.26
O3 0.3855 0.6191 0.3069  1 C 1.32
O4 0.6145 0.3809 0.6931  1 C 1.32
O5 0.8417 0.1387 0.8502  1 C 1.26
O6 0.9775 0.6456 0.3241  1 C 1.32

=====

Below is an optimized crystal structure of TlW, with properties calculated at the PBE-GGA level.

Calculated values
ΔE to the lowest computed polymorph = 0.239 eV per atom
total DFT energy (no corrections) = -6.7965 eV per atom
energy relative to the elements = 0.86 eV per atom

Lattice parameters (Å, degrees): 6.3845 6.3845 6.3845 98.35 98.35 135.19
Closest atoms and distances in Å follow each position.
Fractional coordinates of all 8 atoms:
Tl1 0.0000 0.2766 0.2766  6 W 2.92-2.94, 2 Tl 3.27
Tl2 0.0000 0.7234 0.7234  6 W 2.92-2.94, 2 Tl 3.27
Tl3 0.2766 0.0000 0.2766  6 W 2.92-2.94, 2 Tl 3.27
Tl4 0.7234 0.0000 0.7234  6 W 2.92-2.94, 2 Tl 3.27
W1 0.3437 0.3437 0.6874  2 W 2.61
W2 0.3437 0.6563 0.0000  2 W 2.61
W3 0.6563 0.3437 0.0000  2 W 2.61
W4 0.6563 0.6563 0.3126  2 W 2.61

=====

Below is an optimized crystal structure of LiPuTh2, with properties calculated at the PBE-GGA level.

Calculated values
ΔE to the lowest computed polymorph = 0.071 eV per atom
total DFT energy (no corrections) = -7.5543 eV per atom
energy relative to the elements = 0.22 eV per atom

Lattice parameters (Å, degrees): 5.2784 5.2784 5.2784 60.00 60.00 60.00
Closest atoms and distances in Å follow each position.
Fractional coordinates of all 4 atoms:
Li1 0.0000 0.0000 0.0000  8 Th 3.23
Pu1 0.5000 0.5000 0.5000  8 Th 3.23
Th1 0.2500 0.2500 0.2500  4 Li 3.23, 4 Pu 3.23
Th2 0.7500 0.7500 0.7500  4 Li 3.23, 4 Pu 3.23

=====

Below is an optimized crystal structure of Tb4Pd5Pt, with properties calculated at the PBE-GGA level.

Calculated values
total DFT energy (no corrections) = -5.9570 eV per atom
energy relative to the elements = -0.90 eV per atom

Lattice parameters (Å, degrees): 7.8370 7.8370 5.8301 105.40 105.40 36.53
Closest atoms and distances in Å follow each position.
Fractional coordinates of all 10 atoms:
Tb1 0.0870 0.0870 0.3249  8 Pd 2.83-3.15, 2 Pt 3.08
Tb2 0.3121 0.3121 0.2008  6 Pd 2.78-3.03, 1 Pt 2.85
Tb3 0.6879 0.6879 0.7992  6 Pd 2.78-3.03, 1 Pt 2.85
Tb4 0.9130 0.9130 0.6751  8 Pd 2.83-3.15, 2 Pt 3.08
Pd1 0.1101 0.1101 0.8560  5 Tb 2.78-3.02, 1 Pd 3.07
Pd2 0.2854 0.2854 0.6781  7 Tb 2.92-3.11, 4 Pd 3.07-3.22
Pd3 0.5000 0.5000 0.0000  2 Pt 2.92, 4 Tb 3.15, 6 Pd 3.19-3.22
Pd4 0.7146 0.7146 0.3219  7 Tb 2.92-3.11, 4 Pd 3.07-3.22
Pd5 0.8899 0.8899 0.1440  5 Tb 2.78-3.02, 1 Pd 3.07
Pt1 0.5000 0.5000 0.5000  6 Tb 2.85-3.08, 2 Pd 2.92

=====

Below is an optimized crystal structure of MgTaNb, with properties calculated at the PBE-GGA level.

Calculated values
ΔE to the lowest computed polymorph = 0.000 eV per atom
total DFT energy (no corrections) = -7.7001 eV per atom
energy relative to the elements = 0.14 eV per atom

Lattice parameters (Å, degrees): 2.8555 4.7832 8.3760 90.00 90.83 90.00
Closest atoms and distances in Å follow each position.
Fractional coordinates of all 6 atoms:
Mg1 0.0000 0.0000 0.0000  4 Mg 2.86-2.93, 1 Ta 2.96, 3 Nb 3.00-3.11
Mg2 0.2850 0.5000 0.8232  4 Mg 2.86-2.93, 1 Ta 2.96, 3 Nb 3.00-3.12
Ta1 0.3272 0.0000 0.3374  3 Nb 2.73-2.90, 4 Ta 2.86-2.90, 1 Mg 2.96
Ta2 0.9623 0.5000 0.4855  3 Nb 2.73-2.90, 4 Ta 2.86-2.90, 1 Mg 2.96
Nb1 0.6421 0.5000 0.1764  3 Ta 2.73-2.90, 2 Nb 2.86, 2 Mg 3.00
Nb2 0.6464 0.0000 0.6466  3 Ta 2.73-2.90, 2 Nb 2.86, 2 Mg 3.00

=====

Below is an optimized crystal structure of Be10NbCr, with properties calculated at the PBE-GGA level.

Calculated values
total DFT energy (no corrections) = -4.8567 eV per atom
energy relative to the elements = -0.11 eV per atom

Lattice parameters (Å, degrees): 3.3909 4.3104 7.5199 90.00 90.00 90.00
Closest atoms and distances in Å follow each position.
Fractional coordinates of all 12 atoms:
Be1 0.0000 0.0000 0.0000  8 Be 2.07-2.14
Be2 0.0000 0.2481 0.2459  8 Be 2.09-2.20
Be3 0.0000 0.2481 0.7541  8 Be 2.09-2.20
Be4 0.0000 0.5000 0.5000  8 Be 2.17-2.20
Be5 0.0000 0.7519 0.2459  8 Be 2.09-2.20
Be6 0.0000 0.7519 0.7541  8 Be 2.09-2.20
Be7 0.5000 0.0000 0.1588  6 Be 2.07-2.11
Be8 0.5000 0.0000 0.8412  6 Be 2.07-2.11
Be9 0.5000 0.5000 0.3204  6 Be 2.09-2.17
Be10 0.5000 0.5000 0.6796  6 Be 2.09-2.17
Nb1 0.5000 0.0000 0.5000  18 Be 2.54-2.77
Cr1 0.5000 0.5000 0.0000  6 Be 2.41-2.46

=====

Below is an optimized crystal structure of CsZrBe2F, with properties calculated at the PBE-GGA level.

Calculated values
ΔE to the lowest computed polymorph = 0.612 eV per atom
total DFT energy (no corrections) = -3.0365 eV per atom
formation energy (no corrections) = 3.5 eV per formula unit

Lattice parameters (Å, degrees): 4.2866 4.2866 5.1316 90.00 90.00 90.00
Closest atoms and distances in Å follow each position.
Fractional coordinates of all 5 atoms:
Cs1 0.0000 0.0000 0.0000  2 F 2.57
Zr1 0.5000 0.5000 0.0000  4 Cs 3.03, 8 Be 3.34
Be1 0.0000 0.5000 0.5000  2 F 2.14
Be2 0.5000 0.0000 0.5000  2 F 2.14
F1 0.0000 0.0000 0.5000  4 Be 2.14

=====

Below is an optimized crystal structure of Hg4Pd6F19, with properties calculated at the PBE-GGA level.

Calculated values
total DFT energy (no corrections) = -3.4652 eV per atom
formation energy (no corrections) = -32.6 eV per formula unit

Lattice parameters (Å, degrees): 8.3795 8.3795 8.3795 109.47 109.47 109.47
Closest atoms and distances in Å follow each position.
Fractional coordinates of all 29 atoms:
Hg1 0.0000 0.0000 0.7114  7 F 2.37-2.58
Hg2 0.0000 0.7114 0.0000  7 F 2.37-2.58
Hg3 0.2886 0.2886 0.2886  7 F 2.37-2.58
Hg4 0.7114 0.0000 0.0000  7 F 2.37-2.58
Pd1 0.1530 0.6530 0.5000  6 F 2.17-2.32
Pd2 0.3470 0.5000 0.8470  6 F 2.17-2.32
Pd3 0.5000 0.1530 0.6530  6 F 2.17-2.32
Pd4 0.5000 0.8470 0.3470  6 F 2.17-2.32
Pd5 0.6530 0.5000 0.1530  6 F 2.17-2.32
Pd6 0.8470 0.3470 0.5000  6 F 2.17-2.32
F1 0.0000 0.0000 0.0000  4 Hg 2.42
F2 0.0000 0.3157 0.3157  2 Pd 2.32, 2 Hg 2.58
F3 0.0000 0.6843 0.6843  2 Pd 2.32, 2 Hg 2.58
F4 0.0414 0.2722 0.6654  2 Pd 2.17, 1 Hg 2.37
F5 0.2308 0.9586 0.6240  2 Pd 2.17, 1 Hg 2.37
F6 0.2722 0.6654 0.0414  2 Pd 2.17, 1 Hg 2.37
F7 0.3157 0.0000 0.3157  2 Pd 2.32, 2 Hg 2.58
F8 0.3157 0.3157 0.0000  2 Pd 2.32, 2 Hg 2.58
F9 0.3346 0.6068 0.3760  2 Pd 2.17, 1 Hg 2.37
F10 0.3760 0.3346 0.6068  2 Pd 2.17, 1 Hg 2.37
F11 0.3932 0.7278 0.7692  2 Pd 2.17, 1 Hg 2.37
F12 0.6068 0.3760 0.3346  2 Pd 2.17, 1 Hg 2.37
F13 0.6240 0.2308 0.9586  2 Pd 2.17, 1 Hg 2.37
F14 0.6654 0.0414 0.2722  2 Pd 2.17, 1 Hg 2.37
F15 0.6843 0.0000 0.6843  2 Pd 2.32, 2 Hg 2.58
F16 0.6843 0.6843 0.0000  2 Pd 2.32, 2 Hg 2.58
F17 0.7278 0.7692 0.3932  2 Pd 2.17, 1 Hg 2.37
F18 0.7692 0.3932 0.7278  2 Pd 2.17, 1 Hg 2.37
F19 0.9586 0.6240 0.2308  2 Pd 2.17, 1 Hg 2.37